Entry 1:
VASP calculation (PBE-GGA) on a relaxed CuTe2S2 crystal.

## Properties
- DOS at the Fermi energy (states/eV per atom) = 0.47
- E_form (uncorrected) (eV per atom) = 0.1370

Cell: 6.5223 6.5223 5.3484 Å, 90.00 90.00 90.00°
Last column: nearest neighbours and their distance in Å.
Atoms (fractional coordinates):
Te 0.2217 0.2783 0.5000  2 S 2.69
Te 0.7217 0.2217 0.5000  2 S 2.69
Te 0.2783 0.7783 0.5000  2 S 2.69
Te 0.7783 0.7217 0.5000  2 S 2.69
Cu 0.0000 0.0000 0.0000  4 S 2.37
Cu 0.5000 0.5000 0.0000  4 S 2.37
S 0.3070 0.8070 0.0000  2 Cu 2.37
S 0.6930 0.1930 0.0000  2 Cu 2.37
S 0.1930 0.3070 0.0000  2 Cu 2.37
S 0.8070 0.6930 0.0000  2 Cu 2.37



Entry 2:
VASP calculation (PBE-GGA) on a relaxed Cu4Te3S crystal.

## Properties
- DOS at the Fermi energy (states/eV per atom) = 0.73
- E_form (uncorrected) (eV per atom) = -0.0582

Cell: 6.9332 6.7957 7.8887 Å, 90.00 90.00 90.00°
Last column: nearest neighbours and their distance in Å.
Atoms (fractional coordinates):
Cu 0.6264 0.6828 0.2727  1 S 2.24
Cu 0.1248 0.8742 0.0000  1 S 2.24
Cu 0.6248 0.1258 0.5000  1 S 2.24
Cu 0.6695 0.1674 0.0000  1 S 2.23
Cu 0.1695 0.8326 0.5000  1 S 2.23
Cu 0.1264 0.3172 0.7727  1 S 2.24
Cu 0.1264 0.3172 0.2273  1 S 2.24
Cu 0.6264 0.6828 0.7273  1 S 2.24
Te 0.9926 0.6688 0.7496  4 Cu 2.55-2.59
Te 0.4917 0.8369 0.0000  4 Cu 2.56-2.57
Te 0.9926 0.6688 0.2504  4 Cu 2.55-2.59
Te 0.4926 0.3312 0.2496  4 Cu 2.55-2.59
Te 0.9917 0.1631 0.5000  4 Cu 2.56-2.57
Te 0.4926 0.3312 0.7504  4 Cu 2.55-2.59
S 0.9911 0.1745 0.0000  4 Cu 2.23-2.24
S 0.4911 0.8255 0.5000  4 Cu 2.23-2.24



Entry 3:
VASP calculation (PBE-GGA) on a relaxed Cu4TeS crystal.

## Properties
- DOS at the Fermi energy (states/eV per atom) = 0.05
- E_form (uncorrected) (eV per atom) = 0.0385

Cell: 4.0235 4.0235 6.2380 Å, 90.00 90.00 90.00°
Last column: nearest neighbours and their distance in Å.
Atoms (fractional coordinates):
Cu 0.5000 0.0000 0.7141  2 S 2.41, 1 Cu 2.67, 2 Te 2.69
Cu 0.5000 0.0000 0.2859  2 S 2.41, 1 Cu 2.67, 2 Te 2.69
Cu 0.0000 0.5000 0.2859  2 S 2.41, 1 Cu 2.67, 2 Te 2.69
Cu 0.0000 0.5000 0.7141  2 S 2.41, 1 Cu 2.67, 2 Te 2.69
S 0.5000 0.5000 0.5000  8 Cu 2.41
Te 0.0000 0.0000 0.0000  8 Cu 2.69



Entry 4:
VASP calculation (PBE-GGA) on a relaxed Cu3TeS crystal.

## Properties
- DOS at the Fermi energy (states/eV per atom) = 1.37
- relative energy among the computed polymorphs (meV/atom) = 789
- E_form (uncorrected) (eV per atom) = 0.7242

Cell: 4.8516 4.8516 4.8516 Å, 90.00 90.00 90.00°
Last column: nearest neighbours and their distance in Å.
Atoms (fractional coordinates):
Cu 0.5000 0.0000 0.0000  2 Te 2.43
Cu 0.0000 0.0000 0.5000  2 Te 2.43
Cu 0.0000 0.5000 0.0000  2 Te 2.43
S 0.5000 0.5000 0.5000  12 Cu 3.43
Te 0.0000 0.0000 0.0000  6 Cu 2.43



Entry 5:
VASP calculation (PBE-GGA) on a relaxed CuTeS2 crystal.

## Properties
- DOS at the Fermi energy (states/eV per atom) = 0.48
- relative energy among the computed polymorphs (meV/atom) = 67
- E_form (uncorrected) (eV per atom) = 0.1201

Cell: 6.4218 6.4218 6.1433 Å, 58.49 58.49 90.00°
Last column: nearest neighbours and their distance in Å.
Atoms (fractional coordinates):
S 0.3750 0.4270 0.7500  2 Cu 2.29
S 0.1770 0.6250 0.2500  2 Cu 2.29
S 0.8750 0.8230 0.7500  2 Cu 2.29
S 0.5730 0.1250 0.2500  2 Cu 2.29
Te 0.7500 0.2500 0.5000  4 S 2.72
Te 0.0000 0.0000 0.0000  4 S 2.72
Cu 0.2500 0.7500 0.5000  4 S 2.29
Cu 0.5000 0.5000 0.0000  4 S 2.29



Entry 6:
VASP calculation (PBE-GGA) on a relaxed TlCuTe2S4 crystal.

## Properties
- DOS at the Fermi energy (states/eV per atom) = 0.56
- E_form (uncorrected) (eV per atom) = -0.0134

Cell: 6.9089 6.4734 6.4734 Å, 81.96 57.75 57.75°
Last column: nearest neighbours and their distance in Å.
Atoms (fractional coordinates):
Te 0.5000 0.7502 0.2498  4 S 2.65
Te 0.5000 0.2498 0.7502  4 S 2.65
Cu 0.0000 0.5000 0.5000  4 S 2.30
S 0.9997 0.4467 0.1557  1 Cu 2.30
S 0.6022 0.5533 0.8443  1 Cu 2.30
S 0.3978 0.1557 0.4467  1 Cu 2.30
S 0.0003 0.8443 0.5533  1 Cu 2.30
Tl 0.0000 0.0000 0.0000  4 S 3.19



Entry 7:
VASP calculation (PBE-GGA) on a relaxed Tl2Cu2Te2S crystal.

## Properties
- DOS at the Fermi energy (states/eV per atom) = 0.78
- E_form (uncorrected) (eV per atom) = -0.1660

Cell: 3.9178 8.1386 8.0412 Å, 48.90 89.92 76.12°
Last column: nearest neighbours and their distance in Å.
Atoms (fractional coordinates):
Cu 0.1959 0.6118 0.3292  1 S 2.33
Cu 0.8041 0.3882 0.6708  1 S 2.33
Te 0.8100 0.3819 0.3459  3 Cu 2.61-2.65
Te 0.1900 0.6181 0.6541  3 Cu 2.61-2.65
Tl 0.4485 0.1031 0.2010  2 S 2.98
Tl 0.5515 0.8969 0.7990  2 S 2.98
S 0.0000 0.0000 0.0000  2 Cu 2.33



Entry 8:
VASP calculation (PBE-GGA) on a relaxed Tl2CuTe2S6 crystal.

## Properties
- DOS at the Fermi energy (states/eV per atom) = 0.66
- E_form (uncorrected) (eV per atom) = -0.0510

Cell: 6.6585 6.6585 7.7995 Å, 98.40 98.40 120.53°
Last column: nearest neighbours and their distance in Å.
Atoms (fractional coordinates):
Te 0.6688 0.3312 0.5000  6 S 2.68-2.71
Te 0.3312 0.6688 0.5000  6 S 2.68-2.71
S 0.0699 0.3932 0.6994  1 Cu 2.62, 2 Te 2.68
S 0.2370 0.2370 0.3201  1 Cu 2.39
S 0.9301 0.6068 0.3006  1 Cu 2.62, 2 Te 2.68
S 0.3932 0.0699 0.6994  1 Cu 2.62, 2 Te 2.68
S 0.7630 0.7630 0.6799  1 Cu 2.39
S 0.6068 0.9301 0.3006  1 Cu 2.62, 2 Te 2.68
Tl 0.8314 0.1686 0.0000  6 S 3.15-3.19
Tl 0.1686 0.8314 0.0000  6 S 3.15-3.19
Cu 0.0000 0.0000 0.5000  6 S 2.39-2.62



Entry 9:
VASP calculation (PBE-GGA) on a relaxed TlCu2TeS crystal.

## Properties
- DOS at the Fermi energy (states/eV per atom) = 0.47
- E_form (uncorrected) (eV per atom) = -0.1932

Cell: 3.9247 7.8722 7.8952 Å, 104.21 90.00 90.00°
Last column: nearest neighbours and their distance in Å.
Atoms (fractional coordinates):
Te 0.2500 0.2773 0.5678  4 Cu 2.63-2.71
Te 0.7500 0.7227 0.4322  4 Cu 2.63-2.71
S 0.7500 0.6784 0.9196  4 Cu 2.30-2.39
S 0.2500 0.3216 0.0804  4 Cu 2.30-2.39
Cu 0.2500 0.5094 0.8836  3 S 2.35-2.39
Cu 0.7500 0.4906 0.1164  3 S 2.35-2.39
Cu 0.7500 0.5066 0.6388  1 S 2.30
Cu 0.2500 0.4934 0.3612  1 S 2.30
Tl 0.2500 0.9306 0.1921  3 S 3.21-3.40, 3 Te 3.41-3.50
Tl 0.7500 0.0694 0.8079  3 S 3.21-3.40, 3 Te 3.41-3.50



Entry 10:
VASP calculation (PBE-GGA) on a relaxed Tl2CuTeS4 crystal.

## Properties
- DOS at the Fermi energy (states/eV per atom) = 0.15
- E_form (uncorrected) (eV per atom) = -0.0337

Cell: 5.7062 7.7010 10.8352 Å, 84.40 74.73 68.25°
Last column: nearest neighbours and their distance in Å.
Atoms (fractional coordinates):
S 0.2348 0.1909 0.8577  1 Cu 2.44, 1 Te 2.50
S 0.2834 0.8091 0.1423  1 Cu 2.44, 1 Te 2.50
S 0.9075 0.8091 0.8577  1 Cu 2.44, 1 Te 2.50
S 0.8425 0.6909 0.6423  1 Cu 2.44, 1 Te 2.50
S 0.5743 0.1909 0.1423  1 Cu 2.44, 1 Te 2.50
S 0.1757 0.3091 0.3577  1 Cu 2.44, 1 Te 2.50
S 0.5152 0.3091 0.6423  1 Cu 2.44, 1 Te 2.50
S 0.4666 0.6909 0.3577  1 Cu 2.44, 1 Te 2.50
Tl 0.8129 0.0000 0.3742  2 S 3.15
Tl 0.9371 0.5000 0.1258  2 S 3.15
Tl 0.1871 0.0000 0.6258  2 S 3.15
Tl 0.5629 0.5000 0.8742  2 S 3.15
Cu 0.5000 0.0000 0.0000  4 S 2.44
Cu 0.2500 0.5000 0.5000  4 S 2.44
Te 0.0000 0.0000 0.0000  4 S 2.50
Te 0.7500 0.5000 0.5000  4 S 2.50



Entry 11:
VASP calculation (PBE-GGA) on a relaxed TlCu2Te2S6 crystal.

## Properties
- DOS at the Fermi energy (states/eV per atom) = 0.31
- E_form (uncorrected) (eV per atom) = -0.0249

Cell: 7.2976 8.7082 7.6391 Å, 120.70 95.76 46.31°
Last column: nearest neighbours and their distance in Å.
Atoms (fractional coordinates):
S 0.6542 0.2516 0.4561  2 Cu 2.24-2.41
S 0.7305 0.1417 0.8879  1 Cu 2.39, 1 Te 2.41
S 0.2695 0.8583 0.1121  1 Cu 2.39, 1 Te 2.41
S 0.3458 0.7484 0.5439  2 Cu 2.24-2.41
S 0.9977 0.3744 0.1480  1 Cu 2.28, 1 Te 2.44
S 0.0023 0.6256 0.8520  1 Cu 2.28, 1 Te 2.44
Te 0.8679 0.3027 0.8311  2 S 2.41-2.44
Te 0.1321 0.6973 0.1689  2 S 2.41-2.44
Cu 0.1833 0.6901 0.7082  4 S 2.24-2.41
Cu 0.8167 0.3099 0.2918  4 S 2.24-2.41
Tl 0.5000 0.0000 0.5000  6 S 3.13-3.36



Entry 12:
VASP calculation (PBE-GGA) on a relaxed Tl2Cu2TeS4 crystal.

## Properties
- DOS at the Fermi energy (states/eV per atom) = 0.16
- E_form (uncorrected) (eV per atom) = -0.1782

Cell: 3.9489 7.5195 7.5498 Å, 109.06 90.00 105.22°
Last column: nearest neighbours and their distance in Å.
Atoms (fractional coordinates):
S 0.8027 0.6055 0.8222  3 Cu 2.39-2.41
S 0.1973 0.3945 0.1778  3 Cu 2.39-2.41
S 0.4733 0.9466 0.2217  1 Cu 2.39
S 0.5267 0.0534 0.7783  1 Cu 2.39
Cu 0.6910 0.3820 0.9959  4 S 2.39-2.41, 2 Cu 2.60
Cu 0.3090 0.6180 0.0041  4 S 2.39-2.41, 2 Cu 2.60
Te 0.0000 0.0000 0.0000  6 S 2.70-2.72
Tl 0.1396 0.2792 0.5689  7 S 3.18-3.51, 1 Cu 3.37
Tl 0.8604 0.7208 0.4311  7 S 3.18-3.51, 1 Cu 3.37



Entry 13:
VASP calculation (PBE-GGA) on a relaxed Tl3Cu2TeS6 crystal.

## Properties
- DOS at the Fermi energy (states/eV per atom) = 0.61
- E_form (uncorrected) (eV per atom) = -0.0822

Cell: 6.6888 6.6888 7.0747 Å, 98.58 98.58 121.01°
Last column: nearest neighbours and their distance in Å.
Atoms (fractional coordinates):
Cu 0.6647 0.3353 0.0000  6 S 2.46-2.60
Cu 0.3353 0.6647 0.0000  6 S 2.46-2.60
S 0.9248 0.5795 0.8059  2 Cu 2.46-2.60, 1 Te 2.69
S 0.4205 0.0752 0.1941  2 Cu 2.46-2.60, 1 Te 2.69
S 0.0752 0.4205 0.1941  2 Cu 2.46-2.60, 1 Te 2.69
S 0.5795 0.9248 0.8059  2 Cu 2.46-2.60, 1 Te 2.69
S 0.7194 0.7194 0.2045  2 Cu 2.57, 1 Te 2.67
S 0.2806 0.2806 0.7955  2 Cu 2.57, 1 Te 2.67
Te 0.0000 0.0000 0.0000  6 S 2.67-2.69
Tl 0.5000 0.5000 0.5000  6 S 2.88-3.05
Tl 0.1652 0.8348 0.5000  6 S 2.97-3.08
Tl 0.8348 0.1652 0.5000  6 S 2.97-3.08



Entry 14:
VASP calculation (PBE-GGA) on a relaxed Tm2CuTeS3 crystal.

## Properties
- DOS at the Fermi energy (states/eV per atom) = 0.54
- E_form (uncorrected) (eV per atom) = -1.3031

Cell: 7.9308 7.9308 7.9308 Å, 58.42 58.42 58.42°
Last column: nearest neighbours and their distance in Å.
Atoms (fractional coordinates):
Te 0.2680 0.2680 0.2680  1 Cu 2.62
Te 0.7320 0.7320 0.7320  1 Cu 2.62
S 0.2474 0.7672 0.2474  1 Cu 2.35
S 0.7672 0.2474 0.2474  1 Cu 2.35
S 0.2328 0.7526 0.7526  1 Cu 2.35
S 0.2474 0.2474 0.7672  1 Cu 2.35
S 0.7526 0.2328 0.7526  1 Cu 2.35
S 0.7526 0.7526 0.2328  1 Cu 2.35
Tm 0.0000 0.0000 0.0000  6 S 2.75
Tm 0.5000 0.0000 0.0000  4 S 2.69, 2 Te 2.99
Tm 0.0000 0.5000 0.0000  4 S 2.69, 2 Te 2.99
Tm 0.0000 0.0000 0.5000  4 S 2.69, 2 Te 2.99
Cu 0.4013 0.4013 0.4013  3 S 2.35, 1 Te 2.62
Cu 0.5987 0.5987 0.5987  3 S 2.35, 1 Te 2.62



Entry 15:
VASP calculation (PBE-GGA) on a relaxed Tm8CuTe4S3 crystal.

## Properties
- DOS at the Fermi energy (states/eV per atom) = 0.47
- E_form (uncorrected) (eV per atom) = -1.3643

Cell: 8.1017 8.3214 8.1019 Å, 119.13 120.00 90.00°
Last column: nearest neighbours and their distance in Å.
Atoms (fractional coordinates):
Cu 0.0000 0.5000 0.0000  6 Tm 2.71
Te 0.5000 0.0000 0.0000  6 Tm 3.11
Te 0.5000 0.0000 0.5000  6 Tm 3.07-3.11
Te 0.0000 0.0000 0.0000  6 Tm 3.07-3.11
Te 0.0000 0.0000 0.5000  6 Tm 3.07-3.11
Tm 0.7344 0.7032 0.4688  3 S 2.73
Tm 0.2331 0.7084 0.9752  1 Cu 2.71, 2 S 2.76
Tm 0.2579 0.2916 0.0248  1 Cu 2.71, 2 S 2.76
Tm 0.7669 0.2916 0.0248  1 Cu 2.71, 2 S 2.76
Tm 0.7421 0.7084 0.9752  1 Cu 2.71, 2 S 2.76
Tm 0.7669 0.2917 0.5338  1 Cu 2.71, 2 S 2.76
Tm 0.2656 0.2968 0.5312  3 S 2.73
Tm 0.2331 0.7083 0.4662  1 Cu 2.71, 2 S 2.76
S 0.5000 0.5000 0.5000  6 Tm 2.73-2.76
S 0.5000 0.5000 0.0000  6 Tm 2.73-2.76
S 0.0000 0.5000 0.5000  6 Tm 2.73-2.76



Entry 16:
VASP calculation (PBE-GGA) on a relaxed U2CuTe2S2 crystal.

## Properties
- DOS at the Fermi energy (states/eV per atom) = 2.28
- E_form (uncorrected) (eV per atom) = -0.7689

Cell: 4.5018 4.5018 12.1062 Å, 90.00 90.00 120.00°
Last column: nearest neighbours and their distance in Å.
Atoms (fractional coordinates):
Te 0.0000 0.0000 0.7986  1 Cu 2.44
Te 0.0000 0.0000 0.2014  1 Cu 2.44
S 0.3333 0.6667 0.4175  4 U 2.71-2.76
S 0.6667 0.3333 0.5825  4 U 2.71-2.76
U 0.6667 0.3333 0.3545  4 S 2.71-2.76
U 0.3333 0.6667 0.6455  4 S 2.71-2.76
Cu 0.0000 0.0000 0.0000  2 Te 2.44



Entry 17:
VASP calculation (PBE-GGA) on a relaxed ThCu2S4 crystal.

## Properties
- DOS at the Fermi energy (states/eV per atom) = 0.92
- E_form (uncorrected) (eV per atom) = -0.8357

Cell: 5.5191 5.5191 10.0963 Å, 90.00 90.00 113.13°
Last column: nearest neighbours and their distance in Å.
Atoms (fractional coordinates):
Th 0.5000 0.5000 0.2500  8 S 2.84-2.96
Th 0.5000 0.5000 0.7500  8 S 2.84-2.96
Cu 0.2471 0.8140 0.5000  4 S 2.26-2.38
Cu 0.7529 0.1860 0.5000  4 S 2.26-2.38
Cu 0.1860 0.7529 0.0000  4 S 2.26-2.38
Cu 0.8140 0.2471 0.0000  4 S 2.26-2.38
S 0.5000 0.0000 0.6832  2 Cu 2.30
S 0.3658 0.1972 0.0000  2 Cu 2.26-2.38
S 0.6342 0.8028 0.0000  2 Cu 2.26-2.38
S 0.1972 0.3658 0.5000  2 Cu 2.26-2.38
S 0.8028 0.6342 0.5000  2 Cu 2.26-2.38
S 0.0000 0.5000 0.1832  2 Cu 2.30
S 0.5000 0.0000 0.3168  2 Cu 2.30
S 0.0000 0.5000 0.8168  2 Cu 2.30



Entry 18:
VASP calculation (PBE-GGA) on a relaxed Th2Cu4S5 crystal.

## Properties
- DOS at the Fermi energy (states/eV per atom) = 0.36
- E_form (uncorrected) (eV per atom) = -0.8446

Cell: 3.8699 3.8699 16.4690 Å, 83.25 83.25 60.00°
Last column: nearest neighbours and their distance in Å.
Atoms (fractional coordinates):
S 0.2385 0.2385 0.2845  3 Cu 2.38
S 0.5000 0.5000 0.5000  6 Th 2.80
S 0.7615 0.7615 0.7155  3 Cu 2.38
S 0.6349 0.6349 0.0952  4 Cu 2.28-2.29
S 0.3651 0.3651 0.9048  4 Cu 2.28-2.29
Cu 0.5884 0.5884 0.2349  4 S 2.28-2.38
Cu 0.4116 0.4116 0.7651  4 S 2.28-2.38
Cu 0.3115 0.3115 0.0656  3 S 2.29
Cu 0.6885 0.6885 0.9344  3 S 2.29
Th 0.8679 0.8679 0.3964  6 S 2.80-2.88
Th 0.1321 0.1321 0.6036  6 S 2.80-2.88



Entry 19:
VASP calculation (PBE-GGA) on a relaxed Th2CuS crystal.

## Properties
- DOS at the Fermi energy (states/eV per atom) = 1.30
- E_form (uncorrected) (eV per atom) = -0.7324

Cell: 3.8817 3.8817 7.9886 Å, 75.94 75.94 59.96°
Last column: nearest neighbours and their distance in Å.
Atoms (fractional coordinates):
Th 0.0820 0.0820 0.7543  3 Cu 2.92, 3 S 2.97
Th 0.2511 0.2511 0.2467  3 Cu 2.94, 3 S 2.97
Cu 0.6671 0.6671 0.9987  6 Th 2.92-2.94
S 0.4997 0.4997 0.5002  6 Th 2.97



Entry 20:
VASP calculation (PBE-GGA) on a relaxed ThCuS3 crystal.

## Properties
- DOS at the Fermi energy (states/eV per atom) = 0.92
- E_form (uncorrected) (eV per atom) = -1.1082

Cell: 4.2284 6.9622 8.0182 Å, 90.00 105.31 90.00°
Last column: nearest neighbours and their distance in Å.
Atoms (fractional coordinates):
S 0.1610 0.5067 0.3222  1 Cu 2.38
S 0.4997 0.7500 0.9977  2 Cu 2.27
S 0.8390 0.0067 0.6778  1 Cu 2.38
S 0.1610 0.9933 0.3222  1 Cu 2.38
S 0.8390 0.4933 0.6778  1 Cu 2.38
S 0.5003 0.2500 0.0023  2 Cu 2.27
Cu 0.0541 0.7500 0.1054  4 S 2.27-2.38
Cu 0.9459 0.2500 0.8946  4 S 2.27-2.38
Th 0.6892 0.2500 0.3784  7 S 2.80-2.91
Th 0.3108 0.7500 0.6216  7 S 2.80-2.91